A | SrLaNd2, optimized geometry, DFT PBE-GGA; Fermi-level density of states = 7.39 states/eV/f.u.; symmetry = P4/mmm, No. 123; M_tot = 0.000 μB per cell; ρ = 5.51 g/cm3
1.0
5.4016 0.0000 0.0000
0.0000 5.3596 0.0000
0.0000 0.0000 5.3596
Sr Nd La
1 2 1
Direct
0.5000 0.0000 0.0000
0.0000 0.0000 0.5000
0.0000 0.5000 0.0000
0.5000 0.5000 0.5000



B | SrLaNd2, optimized geometry, DFT PBE-GGA; Fermi-level density of states = 6.97 states/eV/f.u.; symmetry = P4/mmm, No. 123; M_tot = 0.000 μB per cell; ρ = 5.45 g/cm3
1.0
-3.7588 -0.2849 0.3005
-0.2892 -0.1576 -3.7671
0.8599 -10.9336 0.3913
Sr Nd La
1 2 1
Direct
0.5000 0.5000 0.5000
0.0000 0.0000 0.7734
0.0000 0.0000 0.2266
0.5000 0.5000 0.0000



Most stable of them? B.



A | La3Tb4Nd2, optimized geometry, DFT PBE-GGA; Fermi-level density of states = 15.40 states/eV/f.u.; symmetry = C2/m, No. 12; M_tot = 0.000 μB per cell; ρ = 7.18 g/cm3
1.0
5.1693 0.0000 0.0000
-2.5846 5.2141 -5.7163
0.0000 -2.9391 14.7347
La Tb Nd
3 4 2
Direct
0.5525 0.1050 0.6652
0.0000 0.0000 0.0000
0.4475 0.8950 0.3348
0.6693 0.3386 0.0010
0.3307 0.6614 0.9990
0.8907 0.7813 0.6692
0.1093 0.2187 0.3308
0.7739 0.5479 0.3309
0.2261 0.4521 0.6691



B | La3Tb4Nd2, optimized geometry, DFT PBE-GGA; Fermi-level density of states = 14.81 states/eV/f.u.; symmetry = C2/c, No. 15; M_tot = 0.000 μB per cell; ρ = 7.23 g/cm3
1.0
5.8779 1.6714 1.1967
2.0881 11.1966 0.6655
2.0881 4.2377 10.3850
La Tb Nd
6 8 4
Direct
0.7612 0.0301 0.2977
0.7388 0.7023 0.9699
0.2388 0.9699 0.7023
0.2612 0.2977 0.0301
0.2500 0.6258 0.3742
0.7500 0.3742 0.6258
0.4246 0.9357 0.1755
0.0754 0.8245 0.0643
0.5754 0.0643 0.8245
0.9246 0.1755 0.9357
0.0908 0.1521 0.3948
0.4092 0.6052 0.8479
0.9092 0.8479 0.6052
0.5908 0.3948 0.1521
0.4300 0.2579 0.5152
0.0700 0.4848 0.7421
0.5700 0.7421 0.4848
0.9300 0.5152 0.2579



Most stable of them? A.



A | La3Tb5Nd4, optimized geometry, DFT PBE-GGA; Fermi-level density of states = 19.69 states/eV/f.u.; symmetry = C2/m, No. 12; M_tot = 0.038 μB per cell; ρ = 7.07 g/cm3
1.0
-0.6961 -5.4648 2.5263
5.4477 -0.9458 6.7248
-9.0701 -0.4344 3.8305
La Tb Nd
3 5 4
Direct
0.5190 0.6892 0.2728
0.0000 0.5000 0.5000
0.4810 0.3108 0.7272
0.6248 0.9470 0.8034
0.5000 0.5000 0.5000
0.2183 0.4539 0.1095
0.7817 0.5461 0.8905
0.3752 0.0530 0.1966
0.8597 0.2236 0.0570
0.1706 0.0359 0.6229
0.8294 0.9641 0.3771
0.1403 0.7764 0.9430



B | La3Tb5Nd4, optimized geometry, DFT PBE-GGA; Fermi-level density of states = 18.11 states/eV/f.u.; symmetry = P-1, No. 2; M_tot = 0.000 μB per cell; ρ = 7.20 g/cm3
1.0
7.0264 -0.3806 1.9020
-5.2676 7.6140 -6.8759
4.1085 -3.9164 11.8641
La Tb Nd
3 5 4
Direct
0.5809 0.1631 0.3318
0.0000 0.0000 0.5000
0.4191 0.8369 0.6682
0.3308 0.6661 0.8350
0.5000 0.0000 0.5000
0.7501 0.5021 0.0018
0.2499 0.4979 0.9982
0.6692 0.3339 0.1650
0.9167 0.8373 0.6695
0.8311 0.6619 0.8311
0.1689 0.3382 0.1689
0.0833 0.1627 0.3305



Most stable of them? B.



A | La2TbNd, optimized geometry, DFT PBE-GGA; Fermi-level density of states = 6.71 states/eV/f.u.; symmetry = R3m, No. 160; M_tot = 0.000 μB per cell; ρ = 6.82 g/cm3
1.0
-3.3081 -1.6187 0.2429
-1.2023 -1.2627 3.2532
-6.5432 9.6794 3.4326
La Tb Nd
2 1 1
Direct
0.0822 0.0822 0.7534
0.2511 0.2511 0.2466
0.6675 0.6675 0.9975
0.4992 0.4992 0.5025



B | La2TbNd, optimized geometry, DFT PBE-GGA; Fermi-level density of states = 7.01 states/eV/f.u.; symmetry = R-3m, No. 166; M_tot = 0.000 μB per cell; ρ = 6.80 g/cm3
1.0
-0.5425 -3.5315 -0.1004
2.4472 -2.2234 1.3579
-5.1771 -1.3498 11.8247
Nd Tb La
1 1 2
Direct
0.0000 0.0000 0.0000
0.5000 0.5000 0.5000
0.0890 0.0890 0.7331
0.9110 0.9110 0.2669



C | La2TbNd, optimized geometry, DFT PBE-GGA; Fermi-level density of states = 9.31 states/eV/f.u.; symmetry = Fm-3m, No. 225; M_tot = 0.000 μB per cell; ρ = 6.75 g/cm3
1.0
5.8697 0.0000 0.0000
2.9349 5.0833 0.0000
2.9349 1.6944 4.7926
Nd Tb La
1 1 2
Direct
0.5000 0.5000 0.5000
0.0000 0.0000 0.0000
0.2500 0.2500 0.2500
0.7500 0.7500 0.7500



Most stable of them? A.



A | La2TbNd, optimized geometry, DFT PBE-GGA; Fermi-level density of states = 6.27 states/eV/f.u.; symmetry = P4/mmm, No. 123; M_tot = 0.000 μB per cell; ρ = 6.87 g/cm3
1.0
-1.8030 0.0828 4.8197
-4.8911 0.0321 -1.8303
-0.0595 -5.2217 0.0675
Nd Tb La
1 1 2
Direct
0.5000 0.0000 0.0000
0.5000 0.5000 0.5000
0.0000 0.0000 0.5000
0.0000 0.5000 0.0000



B | La2TbNd, optimized geometry, DFT PBE-GGA; Fermi-level density of states = 7.22 states/eV/f.u.; symmetry = P4/mmm, No. 123; M_tot = 0.000 μB per cell; ρ = 6.84 g/cm3
1.0
-2.9522 1.9928 1.0191
-1.5247 -0.5556 -3.3304
-4.5454 -8.5254 3.5031
Nd Tb La
1 1 2
Direct
0.5000 0.5000 0.0000
0.5000 0.5000 0.5000
0.0000 0.0000 0.7462
0.0000 0.0000 0.2538



C | La2TbNd, optimized geometry, DFT PBE-GGA; Fermi-level density of states = 7.72 states/eV/f.u.; symmetry = P4/mmm, No. 123; M_tot = 0.000 μB per cell; ρ = 6.82 g/cm3
1.0
4.2843 0.0000 0.0000
0.0000 4.2843 0.0000
0.0000 0.0000 7.7084
Nd Tb La
1 1 2
Direct
0.5000 0.5000 0.5000
0.5000 0.5000 0.0000
0.0000 0.0000 0.7607
0.0000 0.0000 0.2393



Most stable of them? A.



A | La2Tb4Nd5, optimized geometry, DFT PBE-GGA; Fermi-level density of states = 15.94 states/eV/f.u.; symmetry = C2/m, No. 12; M_tot = 0.000 μB per cell; ρ = 7.12 g/cm3
1.0
-2.2831 2.3807 -1.3956
-7.5709 -2.0522 8.8850
5.4271 5.4523 5.0184
La Tb Nd
2 4 5
Direct
0.7179 0.3550 0.4357
0.2821 0.6450 0.5643
0.3606 0.2006 0.7213
0.9687 0.7418 0.9373
0.6394 0.7994 0.2787
0.0313 0.2582 0.0627
0.9051 0.4632 0.8102
0.0949 0.5368 0.1898
0.8240 0.9304 0.6480
0.5000 0.0000 0.0000
0.1760 0.0696 0.3520



B | La2Tb4Nd5, optimized geometry, DFT PBE-GGA; Fermi-level density of states = 16.26 states/eV/f.u.; symmetry = Immm, No. 71; M_tot = 0.000 μB per cell; ρ = 6.90 g/cm3
1.0
3.5599 0.0000 0.0000
0.0000 9.2918 0.0000
-1.7800 -4.6459 11.8951
La Tb Nd
2 4 5
Direct
0.2672 0.2672 0.5343
0.7328 0.7328 0.4657
0.0000 0.3129 0.0000
0.5972 0.5972 0.1944
0.0000 0.6871 0.0000
0.4028 0.4028 0.8056
0.8583 0.0531 0.7165
0.8583 0.6635 0.7165
0.1417 0.3365 0.2835
0.1417 0.9469 0.2835
0.5000 0.0000 0.0000



Most stable of them? A.



A | LaTbNd2, optimized geometry, DFT PBE-GGA; Fermi-level density of states = 6.82 states/eV/f.u.; symmetry = P4/mmm, No. 123; M_tot = 0.000 μB per cell; ρ = 6.99 g/cm3
1.0
-0.7499 -4.7343 2.0583
3.4580 -1.9785 -3.2908
3.7672 0.8914 3.4228
Nd Tb La
2 1 1
Direct
0.0000 0.0000 0.5000
0.0000 0.5000 0.0000
0.5000 0.5000 0.5000
0.5000 0.0000 0.0000



B | LaTbNd2, optimized geometry, DFT PBE-GGA; Fermi-level density of states = 9.46 states/eV/f.u.; symmetry = Fm-3m, No. 225; M_tot = 1.475 μB per cell; ρ = 6.91 g/cm3
1.0
5.8402 0.0000 0.0000
2.9201 5.0578 0.0000
2.9201 1.6859 4.7685
Nd Tb La
2 1 1
Direct
0.2500 0.2500 0.2500
0.7500 0.7500 0.7500
0.0000 0.0000 0.0000
0.5000 0.5000 0.5000



C | LaTbNd2, optimized geometry, DFT PBE-GGA; Fermi-level density of states = 6.70 states/eV/f.u.; symmetry = R-3m, No. 166; M_tot = 0.016 μB per cell; ρ = 6.94 g/cm3
1.0
3.5736 0.0000 0.0000
1.7868 3.0948 0.0000
1.7868 1.0316 12.6903
Nd Tb La
2 1 1
Direct
0.0878 0.0878 0.7365
0.9122 0.9122 0.2635
0.0000 0.0000 0.0000
0.5000 0.5000 0.5000



D | LaTbNd2, optimized geometry, DFT PBE-GGA; Fermi-level density of states = 9.36 states/eV/f.u.; symmetry = P4/mmm, No. 123; M_tot = 0.000 μB per cell; ρ = 6.97 g/cm3
1.0
-0.3229 1.4007 4.0812
-4.3130 0.0151 -0.3464
-0.2179 -7.0598 2.4058
Nd Tb La
2 1 1
Direct
0.0000 0.0000 0.7583
0.0000 0.0000 0.2417
0.5000 0.5000 0.0000
0.5000 0.5000 0.5000



Most stable of them? A.



A | La2Tb7Nd, optimized geometry, DFT PBE-GGA; Fermi-level density of states = 13.91 states/eV/f.u.; symmetry = P-1, No. 2; M_tot = 0.000 μB per cell; ρ = 7.66 g/cm3
1.0
-1.2338 2.3231 5.0977
-4.4728 -6.4850 -4.5738
8.1719 -1.4613 5.8710
La Tb Nd
2 7 1
Direct
0.3637 0.5777 0.4283
0.6363 0.4223 0.5717
0.1487 0.9392 0.5812
0.8513 0.0608 0.4188
0.1958 0.5954 0.7987
0.8042 0.4046 0.2013
0.2923 0.8883 0.1923
0.7077 0.1117 0.8077
0.5000 0.5000 0.0000
0.0000 0.0000 0.0000



B | La2Tb7Nd, optimized geometry, DFT PBE-GGA; Fermi-level density of states = 18.43 states/eV/f.u.; symmetry = Cmmm, No. 65; M_tot = 0.001 μB per cell; ρ = 7.48 g/cm3
1.0
3.5136 0.0000 0.0000
0.0000 14.1822 -4.8242
0.0000 -10.7037 10.4805
La Tb Nd
2 7 1
Direct
0.5000 0.7050 0.2950
0.5000 0.2950 0.7050
0.0000 0.8146 0.1854
0.0000 0.1854 0.8146
0.5000 0.1479 0.3445
0.5000 0.8521 0.6555
0.5000 0.3445 0.1479
0.5000 0.6555 0.8521
0.5000 0.5000 0.5000
0.0000 0.0000 0.0000



Most stable of them? A.